(1)
An optimized crystal structure of Ta2NiPb, computed with PBE-GGA.

Unit cell a=3.7528 b=4.1991 c=4.4838 alpha=90.00 beta=90.00 gamma=90.00
Closest atoms and distances in Å follow each position.
Fractional positions:
Ta (0.0000, 0.0000, 0.0000)  4 Ta 2.82, 4 Ni 2.92, 4 Pb 3.07
Ta (0.5000, 0.5000, 0.0000)  4 Ta 2.82, 4 Pb 2.92, 4 Ni 3.07
Ni (0.5000, 0.0000, 0.5000)  4 Pb 2.82, 8 Ta 2.92-3.07
Pb (0.0000, 0.5000, 0.5000)  4 Ni 2.82, 8 Ta 2.92-3.07

Output
Space-group type: Pmmm (47)
E_form: 258 meV/atom

=====

(2)
An optimized crystal structure of CeNd5Se8, computed with PBE-GGA.

Unit cell a=7.7544 b=7.7544 c=7.7544 alpha=109.61 beta=109.19 gamma=109.61
Closest atoms and distances in Å follow each position.
Fractional positions:
Nd (0.8720, 0.8666, 0.2398)  8 Se 3.00-3.25
Nd (0.5000, 0.0000, 0.5000)  8 Se 3.00-3.19
Nd (0.9946, 0.3678, 0.1280)  8 Se 3.00-3.25
Nd (0.3732, 0.1334, 0.0054)  8 Se 3.00-3.25
Nd (0.7602, 0.6322, 0.6268)  8 Se 3.00-3.25
Se (0.1251, 0.7520, 0.5237)  5 Nd 3.00-3.23, 1 Ce 3.21
Se (0.4763, 0.6013, 0.2283)  5 Nd 3.00-3.23, 1 Ce 3.21
Se (0.9759, 0.1024, 0.7249)  1 Ce 3.00, 5 Nd 3.00-3.25
Se (0.1266, 0.7490, 0.0241)  1 Ce 3.00, 5 Nd 3.00-3.25
Se (0.7717, 0.2480, 0.3730)  5 Nd 3.00-3.23, 1 Ce 3.21
Se (0.6270, 0.3987, 0.8749)  5 Nd 3.00-3.23, 1 Ce 3.21
Se (0.6224, 0.8976, 0.8734)  1 Ce 3.00, 5 Nd 3.00-3.25
Se (0.2751, 0.2510, 0.3776)  1 Ce 3.00, 5 Nd 3.00-3.25
Ce (0.2500, 0.5000, 0.7500)  8 Se 3.00-3.21

Output
Space-group type: I-4 (82)
Formation energy from raw total energies: -1854 meV per atom

=====

(3)
An optimized crystal structure of CdBP, computed with PBE-GGA.

Unit cell a=3.2333 b=3.2333 c=10.5165 alpha=90.00 beta=90.00 gamma=120.00
Closest atoms and distances in Å follow each position.
Fractional positions:
P (0.3333, 0.6667, 0.8572)  3 B 1.96
P (0.6667, 0.3333, 0.1428)  3 B 1.96
B (0.0000, 0.0000, 0.0869)  1 B 1.83, 3 P 1.96
B (0.0000, 0.0000, 0.9131)  1 B 1.83, 3 P 1.96
Cd (0.6667, 0.3333, 0.3872)  1 P 2.57
Cd (0.3333, 0.6667, 0.6128)  1 P 2.57

Output
Space-group type: P-3m1 (164)
E_form: -113 meV/atom
Relative energy among the computed polymorphs: 0.006 eV per atom

=====

(4)
An optimized crystal structure of Pr4CuIr, computed with PBE-GGA.

Unit cell a=8.0928 b=8.0928 c=8.0928 alpha=106.54 beta=106.54 gamma=115.52
Closest atoms and distances in Å follow each position.
Fractional positions:
Pr (0.7421, 0.0426, 0.3005)  2 Ir 2.85-2.91, 1 Cu 2.96
Pr (0.7421, 0.4416, 0.6995)  2 Ir 2.85-2.91, 1 Cu 2.96
Pr (0.7047, 0.5070, 0.1976)  1 Ir 2.83, 2 Cu 2.91-2.93
Pr (0.1916, 0.9921, 0.1995)  2 Ir 2.85-2.91, 1 Cu 2.96
Pr (0.3094, 0.5070, 0.8024)  1 Ir 2.83, 2 Cu 2.91-2.93
Pr (0.2570, 0.9547, 0.6976)  1 Ir 2.83, 2 Cu 2.91-2.93
Pr (0.7926, 0.9921, 0.8005)  2 Ir 2.85-2.91, 1 Cu 2.96
Pr (0.2570, 0.5594, 0.3024)  1 Ir 2.83, 2 Cu 2.91-2.93
Ir (0.4990, 0.9990, 0.5000)  6 Pr 2.83-2.91
Ir (0.7490, 0.7490, 0.0000)  6 Pr 2.83-2.91
Cu (0.2526, 0.2526, 0.0000)  6 Pr 2.91-2.96
Cu (0.0026, 0.5026, 0.5000)  6 Pr 2.91-2.96

Output
Space-group type: I4_1md (109)
E_form: -165 meV/atom
Relative energy among the computed polymorphs: 0.110 eV per atom

=====

(5)
An optimized crystal structure of BaZnCdHg2, computed with PBE-GGA.

Unit cell a=4.6509 b=4.6509 c=7.2602 alpha=108.68 beta=108.68 gamma=90.00
Closest atoms and distances in Å follow each position.
Fractional positions:
Zn (0.7500, 0.2500, 0.5000)  4 Hg 2.90
Hg (0.6168, 0.6168, 0.2335)  2 Cd 2.90, 2 Zn 2.90, 1 Hg 3.02
Hg (0.3832, 0.3832, 0.7665)  2 Cd 2.90, 2 Zn 2.90, 1 Hg 3.02
Cd (0.2500, 0.7500, 0.5000)  4 Hg 2.90
Ba (0.0000, 0.0000, 0.0000)  8 Hg 3.62, 4 Zn 3.99, 4 Cd 3.99

Output
Space-group type: I-4m2 (119)
E_form: -290 meV/atom
Relative energy among the computed polymorphs: 0.000 eV per atom

=====

(6)
An optimized crystal structure of LiInAs2, computed with PBE-GGA.

Unit cell a=4.6824 b=4.6824 c=3.7698 alpha=89.87 beta=89.87 gamma=103.91
Closest atoms and distances in Å follow each position.
Fractional positions:
As (0.5000, 0.5000, 0.0000)  2 As 2.89, 4 Li 3.00-3.01, 4 In 3.00-3.01
As (0.0000, 0.0000, 0.0000)  2 As 2.89, 4 In 3.00-3.01, 4 Li 3.00-3.01
In (0.5000, 0.0000, 0.5000)  2 Li 2.89, 8 As 3.00-3.01
Li (0.0000, 0.5000, 0.5000)  2 In 2.89, 8 As 3.00-3.01

Output
Space-group type: C2/m (12)
E_form: -119 meV/atom

=====

(7)
An optimized crystal structure of Dy4Er2In, computed with PBE-GGA.

Unit cell a=6.4041 b=6.4041 c=11.5595 alpha=102.03 beta=102.03 gamma=104.34
Closest atoms and distances in Å follow each position.
Fractional positions:
Dy (0.3997, 0.3745, 0.1619)  1 In 3.24, 4 Dy 3.42-3.53, 2 Er 3.50-3.61
Dy (0.4879, 0.9627, 0.3381)  1 In 3.24, 4 Dy 3.42-3.53, 2 Er 3.50-3.61
Dy (0.8084, 0.7325, 0.7677)  1 In 3.15, 5 Dy 3.23-3.51, 3 Er 3.39-3.49
Dy (0.6245, 0.1497, 0.6619)  1 In 3.24, 4 Dy 3.42-3.53, 2 Er 3.50-3.61
Dy (0.9647, 0.0407, 0.2323)  1 In 3.15, 5 Dy 3.23-3.51, 3 Er 3.39-3.49
Dy (0.2907, 0.7147, 0.7323)  1 In 3.15, 5 Dy 3.23-3.51, 3 Er 3.39-3.49
Dy (0.2127, 0.2379, 0.8381)  1 In 3.24, 4 Dy 3.42-3.53, 2 Er 3.50-3.61
Dy (0.9825, 0.5584, 0.2677)  1 In 3.15, 5 Dy 3.23-3.51, 3 Er 3.39-3.49
Er (0.4307, 0.5012, 0.4756)  2 In 3.20-3.37, 4 Dy 3.39-3.50
Er (0.0256, 0.9551, 0.5244)  2 In 3.20-3.37, 4 Dy 3.39-3.50
Er (0.2051, 0.7756, 0.0244)  2 In 3.20-3.37, 4 Dy 3.39-3.50
Er (0.7512, 0.1807, 0.9756)  2 In 3.20-3.37, 4 Dy 3.39-3.50
In (0.9015, 0.4015, 0.5000)  4 Dy 3.15-3.24, 4 Er 3.20-3.37
In (0.6515, 0.6515, 0.0000)  4 Dy 3.15-3.24, 4 Er 3.20-3.37

Output
Space-group type: Fdd2 (43)
E_form: -38 meV/atom
Relative energy among the computed polymorphs: 0.000 eV per atom

=====

(8)
An optimized crystal structure of AlFePb2, computed with PBE-GGA.

Unit cell a=5.8908 b=5.8908 c=5.8908 alpha=137.76 beta=137.76 gamma=61.26
Closest atoms and distances in Å follow each position.
Fractional positions:
Pb (0.0000, 0.0000, 0.0000)  4 Al 3.00, 4 Fe 3.31, 4 Pb 3.31
Pb (0.2500, 0.7500, 0.5000)  4 Fe 3.00, 4 Al 3.31, 4 Pb 3.31
Al (0.5000, 0.5000, 0.0000)  8 Pb 3.00-3.31, 4 Fe 3.31
Fe (0.7500, 0.2500, 0.5000)  8 Pb 3.00-3.31, 4 Al 3.31

Output
Space-group type: I-4m2 (119)
E_form: 563 meV/atom

=====

(9)
An optimized crystal structure of KB2F6, computed with PBE-GGA.

Unit cell a=7.0734 b=7.1321 c=7.1321 alpha=74.41 beta=64.10 gamma=64.10
Closest atoms and distances in Å follow each position.
Fractional positions:
F (0.2999, 0.0687, 0.2130)  1 B 1.38
F (0.9965, 0.6099, 0.7438)  1 B 1.38
F (0.4965, 0.7438, 0.6099)  1 B 1.38
F (0.5035, 0.2562, 0.3901)  1 B 1.38
F (0.5682, 0.5490, 0.1725)  1 B 1.37
F (0.2001, 0.7870, 0.9313)  1 B 1.38
F (0.7001, 0.9313, 0.7870)  1 B 1.38
F (0.4318, 0.4510, 0.8275)  1 B 1.37
F (0.7999, 0.2130, 0.0687)  1 B 1.38
F (0.0682, 0.1725, 0.5490)  1 B 1.37
F (0.9318, 0.8275, 0.4510)  1 B 1.37
F (0.0035, 0.3901, 0.2562)  1 B 1.38
B (0.3471, 0.6606, 0.7698)  3 F 1.37-1.38
B (0.8471, 0.7698, 0.6606)  3 F 1.37-1.38
B (0.1529, 0.2302, 0.3394)  3 F 1.37-1.38
B (0.6529, 0.3394, 0.2302)  3 F 1.37-1.38
K (0.2500, 0.1845, 0.8155)  8 F 2.76-2.86
K (0.7500, 0.8155, 0.1845)  8 F 2.76-2.86

Output
Space-group type: C2/c (15)
Formation energy from raw total energies: -2473 meV per atom

=====

(10)
An optimized crystal structure of Si2Se, computed with PBE-GGA.

Unit cell a=3.9492 b=3.6291 c=10.5634 alpha=90.00 beta=100.68 gamma=90.00
Closest atoms and distances in Å follow each position.
Fractional positions:
Se (0.3317, 0.7500, 0.6610)  2 Si 2.34
Se (0.6683, 0.2500, 0.3390)  2 Si 2.34
Si (0.0342, 0.7500, 0.0698)  4 Si 2.32-2.37
Si (0.5971, 0.7500, 0.1968)  2 Se 2.34, 2 Si 2.37
Si (0.9658, 0.2500, 0.9302)  4 Si 2.32-2.37
Si (0.4029, 0.2500, 0.8032)  2 Se 2.34, 2 Si 2.37

Output
Space-group type: P2_1/m (11)
Formation energy from raw total energies: -169 meV per atom
Relative energy among the computed polymorphs: 0.000 eV per atom

=====

(11)
An optimized crystal structure of K2RbCaSb, computed with PBE-GGA.

Unit cell a=6.9552 b=6.9552 c=6.0744 alpha=90.00 beta=90.00 gamma=90.00
Closest atoms and distances in Å follow each position.
Fractional positions:
Ca (0.0000, 0.0000, 0.5000)  2 Sb 3.04
Sb (0.0000, 0.0000, 0.0000)  2 Ca 3.04
K (0.5000, 0.0000, 0.0000)  2 Sb 3.48
K (0.0000, 0.5000, 0.0000)  2 Sb 3.48
Rb (0.5000, 0.5000, 0.5000)  8 K 4.62, 4 Ca 4.92

Output
Space-group type: P4/mmm (123)
Formation energy from raw total energies: -259 meV per atom

=====

(12)
An optimized crystal structure of Ce3ZnCo2Ge6, computed with PBE-GGA.

Unit cell a=6.3602 b=6.3602 c=6.9335 alpha=90.00 beta=90.00 gamma=120.00
Closest atoms and distances in Å follow each position.
Fractional positions:
Ge (0.6078, 0.8039, 0.2925)  1 Co 2.49, 1 Zn 2.60, 2 Ge 2.62
Ge (0.8039, 0.1961, 0.7075)  1 Co 2.49, 1 Zn 2.60, 2 Ge 2.62
Ge (0.3922, 0.1961, 0.7075)  1 Co 2.49, 1 Zn 2.60, 2 Ge 2.62
Ge (0.8039, 0.6078, 0.7075)  1 Co 2.49, 1 Zn 2.60, 2 Ge 2.62
Ge (0.1961, 0.8039, 0.2925)  1 Co 2.49, 1 Zn 2.60, 2 Ge 2.62
Ge (0.1961, 0.3922, 0.2925)  1 Co 2.49, 1 Zn 2.60, 2 Ge 2.62
Zn (0.0000, 0.0000, 0.5000)  6 Ge 2.60
Co (0.6667, 0.3333, 0.9936)  1 Ce 2.11
Co (0.3333, 0.6667, 0.0064)  1 Ce 2.11
Ce (0.0000, 0.0000, 0.0000)  6 Ge 2.96
Ce (0.3333, 0.6667, 0.7022)  1 Co 2.11
Ce (0.6667, 0.3333, 0.2978)  1 Co 2.11

Output
Space-group type: P-3m1 (164)
E_form: -197 meV/atom